(1)
First-principles (PBE) data for a geometry-optimized Na4Zn2Cd5 structure, as listed in Alexandria.

Computed properties:
total magnetic moment: 0.0 μB per formula unit
electronic total energy: -12.8 eV per cell
density: 5005 kg/m3

Geometry as CIF:
```
data_Na4Zn2Cd5
_cell_length_a 7.711
_cell_length_b 3.235
_cell_length_c 10.457
_cell_angle_alpha 90.00
_cell_angle_beta 93.42
_cell_angle_gamma 90.00
_symmetry_space_group_name_H-M 'P 1 2/m 1'
_symmetry_Int_Tables_number 10
loop_
_symmetry_equiv_pos_as_xyz
'x,y,z'
'-x,-y,-z'
'-x,y,-z'
'x,-y,z'
loop_
_atom_site_label
_atom_site_fract_x
_atom_site_fract_y
_atom_site_fract_z
Na1 0.150 0.000 0.390
Na2 0.288 0.000 0.950
Zn1 0.051 0.500 0.126
Cd1 0.210 0.500 0.681
Cd2 0.412 0.500 0.213
Cd3 0.500 0.500 0.500
```

=====

(2)
First-principles (PBE) data for a geometry-optimized KAuSe2N structure, as listed in Alexandria.

Computed properties:
ΔE_f (raw): 0.5297 eV/atom
total magnetic moment: 0.0 μB per formula unit
electronic total energy: -17.0 eV per cell
density: 5603 kg/m3
excess energy over the best structure of this formula in the dataset: 0 kJ/mol of formula units

Geometry as CIF:
```
data_KAuSe2N
_cell_length_a 5.663
_cell_length_b 5.663
_cell_length_c 3.770
_cell_angle_alpha 90.00
_cell_angle_beta 90.00
_cell_angle_gamma 90.00
_symmetry_space_group_name_H-M 'P 4/m m m'
_symmetry_Int_Tables_number 123
_symmetry_space_group_name_Hall '-P 4 2'
loop_
_atom_site_label
_atom_site_fract_x
_atom_site_fract_y
_atom_site_fract_z
K1 0.000 0.000 0.000
Au1 0.500 0.500 0.500
Se1 0.000 0.500 0.500
N1 0.500 0.500 0.000
```